No. 1
{
  "formula": "InCoMo2",
  "functional": "GGA-PBE",
  "state": "optimized geometry",
  "lattice": [[2.7953, 0.0302, 0.0000], [-0.2919, 2.7802, 0.0000], [0.0000, 0.0000, 8.0513]],
  "species": ["In", "Mo", "Mo", "Co"],
  "frac_coords": [[0.5000, 0.5000, 0.7240], [0.5000, 0.5000, 0.2825], [0.0000, 0.0000, 0.0107], [0.0000, 0.0000, 0.4828]],
  "formation_energy_mev_per_atom": 232,
  "final_energy_ev_per_atom": -7.65
}

No. 2
{
  "formula": "AlCuRe",
  "functional": "GGA-PBE",
  "state": "optimized geometry",
  "lattice": [[-0.4528, -1.1217, -2.4729], [2.5780, 0.4090, 0.8747], [0.0298, -5.8607, 2.6529]],
  "species": ["Cu", "Re", "Al"],
  "frac_coords": [[0.6667, 0.3333, 0.3251], [0.3333, 0.6667, 0.6665], [0.0000, 0.0000, 0.0084]],
  "polymorph_energy_kj_per_mol_fu": 49,
  "formation_energy_mev_per_atom": 51,
  "final_energy_ev_per_atom": -6.71
}

No. 3
{
  "formula": "DyScOs",
  "functional": "GGA-PBE",
  "state": "optimized geometry",
  "lattice": [[-2.9870, 0.6879, 1.2350], [-0.9166, -3.1403, -0.4676], [3.9795, -0.2154, 5.3235]],
  "species": ["Sc", "Dy", "Os"],
  "frac_coords": [[0.2917, 0.2917, 0.5833], [0.0345, 0.0345, 0.0689], [0.6739, 0.6739, 0.3478]],
  "polymorph_energy_kj_per_mol_fu": 17,
  "formation_energy_mev_per_atom": -292,
  "final_energy_ev_per_atom": -7.68
}

No. 4
{
  "formula": "CuRe2Si",
  "functional": "GGA-PBE",
  "state": "optimized geometry",
  "lattice": [[8.4933, -0.0030, -0.0017], [8.0408, 2.7353, -0.0017], [8.0408, 1.3288, 2.3908]],
  "species": ["Re", "Re", "Si", "Cu"],
  "frac_coords": [[0.5033, 0.5033, 0.5033], [0.9967, 0.9967, 0.9967], [0.2500, 0.2500, 0.2500], [0.7500, 0.7500, 0.7500]],
  "raw_formation_energy_ev_per_atom": 0.163,
  "final_energy_ev_per_atom": -8.44
}

No. 5
{
  "formula": "Li2YPtF",
  "functional": "GGA-PBE",
  "state": "optimized geometry",
  "lattice": [[3.9952, 0.0000, 0.0000], [0.0000, 3.9952, 0.0000], [0.0000, 0.0000, 4.9805]],
  "species": ["Li", "Li", "Pt", "F", "Y"],
  "frac_coords": [[0.5000, 0.0000, 0.0000], [0.0000, 0.5000, 0.0000], [0.5000, 0.5000, 0.5000], [0.0000, 0.0000, 0.0000], [0.0000, 0.0000, 0.5000]],
  "raw_formation_energy_ev_per_atom": -1.486,
  "final_energy_ev_per_atom": -5.13
}

No. 6
{
  "formula": "VCo2Pt",
  "functional": "GGA-PBE",
  "state": "optimized geometry",
  "lattice": [[3.5961, 0.0000, 0.0000], [0.0000, 3.5961, 0.0000], [1.7980, 1.7980, 8.6124]],
  "species": ["Co", "Co", "Co", "Co", "V", "V", "Pt", "Pt"],
  "frac_coords": [[0.1271, 0.6250, 0.2500], [0.8750, 0.8729, 0.7500], [0.6229, 0.1250, 0.2500], [0.3750, 0.3771, 0.7500], [0.5000, 0.5000, 0.0000], [0.2500, 0.7500, 0.5000], [0.0000, 0.0000, 0.0000], [0.7500, 0.2500, 0.5000]],
  "formation_energy_mev_per_atom": 238,
  "final_energy_ev_per_atom": -7.11
}

No. 7
{
  "formula": "V2Cr2NiS6",
  "functional": "GGA-PBE",
  "state": "optimized geometry",
  "lattice": [[-5.5870, 1.0960, -2.3907], [4.1380, -3.6790, -2.7336], [-1.6383, -3.6566, 4.4554]],
  "species": ["Cr", "Cr", "V", "V", "S", "S", "S", "S", "S", "S", "Ni"],
  "frac_coords": [[0.8334, 0.1666, 0.0000], [0.1666, 0.8334, 0.0000], [0.6448, 0.3552, 0.5000], [0.3552, 0.6448, 0.5000], [0.0518, 0.4280, 0.7404], [0.2229, 0.2229, 0.2553], [0.9482, 0.5720, 0.2596], [0.4280, 0.0518, 0.7404], [0.7771, 0.7771, 0.7447], [0.5720, 0.9482, 0.2596], [0.0000, 0.0000, 0.5000]],
  "raw_formation_energy_ev_per_atom": -0.592,
  "final_energy_ev_per_atom": -6.78
}

No. 8
{
  "formula": "GaPtF3",
  "functional": "GGA-PBE",
  "state": "optimized geometry",
  "lattice": [[4.3563, 0.0000, 0.0000], [0.0000, 4.3563, 0.0000], [0.0000, 0.0000, 4.3563]],
  "species": ["F", "F", "F", "Pt", "Ga"],
  "frac_coords": [[0.0000, 0.0000, 0.5000], [0.0000, 0.5000, 0.0000], [0.5000, 0.0000, 0.0000], [0.0000, 0.0000, 0.0000], [0.5000, 0.5000, 0.5000]],
  "polymorph_energy_kj_per_mol_fu": 0,
  "raw_formation_energy_ev_per_atom": -1.003,
  "final_energy_ev_per_atom": -3.94
}

No. 9
{
  "formula": "SiW3",
  "functional": "GGA-PBE",
  "state": "optimized geometry",
  "lattice": [[-2.1767, 1.5035, -2.9293], [-3.2398, -0.3519, 2.2269], [0.5871, 3.6325, 1.4282]],
  "species": ["W", "W", "W", "Si"],
  "frac_coords": [[0.5000, 0.0000, 0.5000], [0.0000, 0.5000, 0.5000], [0.5000, 0.5000, 0.0000], [0.0000, 0.0000, 0.0000]],
  "raw_formation_energy_ev_per_atom": 0.254,
  "final_energy_ev_per_atom": -10.82
}

No. 10
{
  "formula": "LiCa4Sm3Se8",
  "functional": "GGA-PBE",
  "state": "optimized geometry",
  "lattice": [[8.3250, 0.0000, 0.0000], [0.0000, 8.3640, 0.0220], [-4.1625, -4.1586, 5.8894]],
  "species": ["Se", "Se", "Se", "Se", "Se", "Se", "Se", "Se", "Li", "Ca", "Ca", "Ca", "Ca", "Sm", "Sm", "Sm"],
  "frac_coords": [[0.2494, 0.2483, 0.4989], [0.7506, 0.7517, 0.5011], [0.2472, 0.7466, 0.4945], [0.7528, 0.2534, 0.5055], [0.7522, 0.7466, 0.9994], [0.2472, 0.7466, 0.9994], [0.7528, 0.2534, 0.0006], [0.2478, 0.2534, 0.0006], [0.0000, 0.5000, 0.0000], [0.5000, 0.0000, 0.5000], [0.0000, 0.0000, 0.0000], [0.0000, 0.0000, 0.5000], [0.5000, 0.0000, 0.0000], [0.0000, 0.5000, 0.5000], [0.5000, 0.5000, 0.0000], [0.5000, 0.5000, 0.5000]],
  "raw_formation_energy_ev_per_atom": -1.878,
  "final_energy_ev_per_atom": -5.13
}

No. 11
{
  "formula": "Rb2Ni3Br8",
  "functional": "GGA-PBE",
  "state": "optimized geometry",
  "lattice": [[1.6036, -3.3752, -6.7239], [6.2302, -1.2291, 2.1028], [-5.3117, -4.7829, 5.5343]],
  "species": ["Rb", "Rb", "Br", "Br", "Br", "Br", "Br", "Br", "Br", "Br", "Ni", "Ni", "Ni"],
  "frac_coords": [[0.2607, 0.3249, 0.5214], [0.7393, 0.6751, 0.4786], [0.9115, 0.1096, 0.8230], [0.1468, 0.6173, 0.8274], [0.4046, 0.0521, 0.8091], [0.5954, 0.9479, 0.1909], [0.6806, 0.6173, 0.8274], [0.0885, 0.8904, 0.1770], [0.3194, 0.3827, 0.1726], [0.8532, 0.3827, 0.1726], [0.2530, 0.0000, 0.0000], [0.7470, 0.0000, 0.0000], [0.0000, 0.5000, 0.0000]],
  "raw_formation_energy_ev_per_atom": -0.718,
  "final_energy_ev_per_atom": -3.23
}

No. 12
{
  "formula": "Sc2Be5Co2Cu",
  "functional": "GGA-PBE",
  "state": "optimized geometry",
  "lattice": [[2.8110, 0.0000, 0.0000], [0.0000, 9.1234, 0.0000], [0.0000, 0.0000, 9.1234]],
  "species": ["Co", "Co", "Co", "Co", "Be", "Be", "Be", "Be", "Be", "Be", "Be", "Be", "Be", "Be", "Sc", "Sc", "Sc", "Sc", "Cu", "Cu"],
  "frac_coords": [[0.0000, 0.1236, 0.6236], [0.0000, 0.6236, 0.8764], [0.0000, 0.3764, 0.1236], [0.0000, 0.8764, 0.3764], [0.5000, 0.0000, 0.5000], [0.5000, 0.3069, 0.5505], [0.5000, 0.9495, 0.1931], [0.5000, 0.0505, 0.8069], [0.5000, 0.8069, 0.9495], [0.5000, 0.6931, 0.4495], [0.5000, 0.5505, 0.6931], [0.5000, 0.1931, 0.0505], [0.5000, 0.5000, 0.0000], [0.5000, 0.4495, 0.3069], [0.0000, 0.6842, 0.1842], [0.0000, 0.1842, 0.3158], [0.0000, 0.8158, 0.6842], [0.0000, 0.3158, 0.8158], [0.0000, 0.5000, 0.5000], [0.0000, 0.0000, 0.0000]],
  "formation_energy_mev_per_atom": -87,
  "final_energy_ev_per_atom": -5.05
}